Entry 1:
MgTl2CuCl6, optimized geometry, DFT PBE-GGA; E_tot = -3.208 eV/atom; formation energy without anion corrections = -1058 meV/atom; total moment = 1.9 Bohr magnetons per cell; space group = P2_1/c, No. 14
1.0
7.365 0.000 0.000
0.000 7.189 0.000
-7.131 0.000 9.635
Mg Tl Cu Cl
2 4 2 12
direct
0.000 0.000 0.000
0.000 0.500 0.500
0.243 0.013 0.747
0.243 0.487 0.247
0.757 0.513 0.753
0.757 0.987 0.253
0.500 0.000 0.500
0.500 0.500 0.000
0.184 0.240 0.970
0.184 0.260 0.470
0.253 0.741 0.969
0.253 0.759 0.469
0.322 0.015 0.264
0.322 0.485 0.764
0.678 0.515 0.236
0.678 0.985 0.736
0.747 0.241 0.531
0.747 0.259 0.031
0.816 0.740 0.530
0.816 0.760 0.030

Entry 2:
PmHgBiSb, optimized geometry, DFT PBE-GGA; E_tot = -3.595 eV/atom; formation energy without anion corrections = -331 meV/atom; total moment = 0.0 Bohr magnetons per cell; space group = F-43m, No. 216
1.0
0.000 3.860 3.860
3.860 0.000 3.860
3.860 3.860 0.000
Pm Hg Bi Sb
1 1 1 1
direct
0.000 0.000 0.000
0.750 0.750 0.750
0.500 0.500 0.500
0.250 0.250 0.250

Entry 3:
LaNi4Sn2, optimized geometry, DFT PBE-GGA; E_tot = -5.585 eV/atom; total moment = 0.0 Bohr magnetons per cell; energy relative to the elements = -0.43 eV/atom; space group = I4/mcm, No. 140
1.0
-3.890 3.890 3.970
3.890 -3.890 3.970
3.890 3.890 -3.970
La Ni Sn
2 8 4
direct
0.250 0.250 0.000
0.750 0.750 0.000
0.026 0.526 0.226
0.200 0.974 0.500
0.300 0.800 0.774
0.474 0.700 0.500
0.526 0.300 0.500
0.700 0.200 0.226
0.800 0.026 0.500
0.974 0.474 0.774
0.160 0.340 0.500
0.340 0.840 0.180
0.660 0.160 0.820
0.840 0.660 0.500

Entry 4:
NbPPt3, optimized geometry, DFT PBE-GGA; E_tot = -6.504 eV/atom; total moment = 2.0 Bohr magnetons per cell; energy above the lowest structure with this stoichiometry = 0.0 meV per atom; energy relative to the elements = 0.22 eV/atom; space group = Pm-3m, No. 221
1.0
4.504 0.000 0.000
0.000 4.504 0.000
0.000 0.000 4.504
Nb P Pt
1 1 3
direct
0.000 0.000 0.000
0.500 0.500 0.500
0.000 0.500 0.500
0.500 0.000 0.500
0.500 0.500 0.000

Entry 5:
K2CdHgAs, optimized geometry, DFT PBE-GGA; E_tot = -1.820 eV/atom; total moment = 0.0 Bohr magnetons per cell; energy relative to the elements = -0.21 eV/atom; space group = P4/mmm, No. 123
1.0
6.472 0.000 0.000
0.000 6.472 0.000
0.000 0.000 5.306
K Cd Hg As
2 1 1 1
direct
0.000 0.500 0.000
0.500 0.000 0.000
0.000 0.000 0.500
0.500 0.500 0.500
0.000 0.000 0.000

Entry 6:
FeCo3, optimized geometry, DFT PBE-GGA; E_tot = -7.363 eV/atom; total moment = 15.1 Bohr magnetons per cell; energy relative to the elements = 0.08 eV/atom; space group = Pm-3n, No. 223
1.0
4.492 0.000 0.000
0.000 4.492 0.000
0.000 0.000 4.492
Fe Co
2 6
direct
0.000 0.000 0.000
0.500 0.500 0.500
0.000 0.250 0.500
0.000 0.750 0.500
0.250 0.500 0.000
0.500 0.000 0.250
0.500 0.000 0.750
0.750 0.500 0.000

Entry 7:
NaLiCaSn, optimized geometry, DFT PBE-GGA; E_tot = -2.688 eV/atom; total moment = 0.0 Bohr magnetons per cell; energy relative to the elements = -0.38 eV/atom; space group = F-43m, No. 216
1.0
0.000 3.705 3.705
3.705 0.000 3.705
3.705 3.705 0.000
Na Li Ca Sn
1 1 1 1
direct
0.000 0.000 0.000
0.750 0.750 0.750
0.250 0.250 0.250
0.500 0.500 0.500

Entry 8:
Mg8Tl3Bi2, optimized geometry, DFT PBE-GGA; E_tot = -2.160 eV/atom; total moment = 0.0 Bohr magnetons per cell; energy relative to the elements = -0.04 eV/atom; space group = Cmmm, No. 65
1.0
4.858 -7.765 0.000
4.858 7.765 0.000
0.000 0.000 4.785
Mg Tl Bi
8 3 2
direct
0.118 0.882 0.000
0.125 0.366 0.500
0.366 0.125 0.500
0.376 0.624 0.000
0.624 0.376 0.000
0.634 0.875 0.500
0.875 0.634 0.500
0.882 0.118 0.000
0.238 0.238 0.000
0.500 0.500 0.500
0.762 0.762 0.000
0.245 0.755 0.500
0.755 0.245 0.500

Entry 9:
ScRh2W, optimized geometry, DFT PBE-GGA; E_tot = -8.767 eV/atom; total moment = 0.0 Bohr magnetons per cell; energy above the lowest structure with this stoichiometry = 169.7 meV per atom; energy relative to the elements = -0.27 eV/atom; space group = P4/mmm, No. 123
1.0
4.135 0.000 0.000
0.000 4.135 0.000
0.000 0.000 3.707
Sc Rh W
1 2 1
direct
0.000 0.000 0.000
0.000 0.500 0.500
0.500 0.000 0.500
0.500 0.500 0.000

Entry 10:
Mn2Pt, optimized geometry, DFT PBE-GGA; E_tot = -7.416 eV/atom; total moment = 0.0 Bohr magnetons per cell; energy relative to the elements = 0.71 eV/atom; space group = Pa-3, No. 205
1.0
5.734 0.000 0.000
0.000 5.734 0.000
0.000 0.000 5.734
Mn Pt
8 4
direct
0.096 0.096 0.096
0.096 0.404 0.596
0.404 0.596 0.096
0.404 0.904 0.596
0.596 0.096 0.404
0.596 0.404 0.904
0.904 0.596 0.404
0.904 0.904 0.904
0.000 0.000 0.500
0.000 0.500 0.000
0.500 0.000 0.000
0.500 0.500 0.500

Entry 11:
NiMoAs3, optimized geometry, DFT PBE-GGA; E_tot = -5.353 eV/atom; total moment = 2.5 Bohr magnetons per cell; energy above the lowest structure with this stoichiometry = 0.0 meV per atom; energy relative to the elements = 0.76 eV/atom; space group = Pm-3m, No. 221
1.0
4.569 0.000 0.000
0.000 4.569 0.000
0.000 0.000 4.569
Ni Mo As
1 1 3
direct
0.000 0.000 0.000
0.500 0.500 0.500
0.000 0.000 0.500
0.000 0.500 0.000
0.500 0.000 0.000

Entry 12:
HfInNiPd, optimized geometry, DFT PBE-GGA; E_tot = -6.434 eV/atom; total moment = 0.0 Bohr magnetons per cell; energy relative to the elements = -0.52 eV/atom; space group = F-43m, No. 216
1.0
0.000 3.230 3.230
3.230 0.000 3.230
3.230 3.230 0.000
Hf In Ni Pd
1 1 1 1
direct
0.000 0.000 0.000
0.500 0.500 0.500
0.750 0.750 0.750
0.250 0.250 0.250